DFT (PBE-GGA) results for an optimized crystal structure of NdDy6Er2Sc.

- E_form (eV per atom) = 0.13
- final energy (eV/f.u.) = -46.55

Cell lengths 9.299, 8.710, 8.710 Å; angles 116.85, 93.08, 93.08 degrees
Element x y z (fractional)
Nd (0.250, 0.973, 0.027)
Nd (0.750, 0.027, 0.973)
Dy (0.055, 0.125, 0.758)
Dy (0.445, 0.242, 0.875)
Dy (0.945, 0.875, 0.242)
Dy (0.555, 0.758, 0.125)
Dy (0.311, 0.999, 0.442)
Dy (0.189, 0.558, 0.001)
Dy (0.689, 0.001, 0.558)
Dy (0.811, 0.442, 0.999)
Dy (0.113, 0.709, 0.486)
Dy (0.387, 0.514, 0.291)
Dy (0.887, 0.291, 0.514)
Dy (0.613, 0.486, 0.709)
Er (0.449, 0.795, 0.691)
Er (0.051, 0.309, 0.205)
Er (0.551, 0.205, 0.309)
Er (0.949, 0.691, 0.795)
Sc (0.250, 0.416, 0.584)
Sc (0.750, 0.584, 0.416)



DFT (PBE-GGA) results for an optimized crystal structure of NdDy2Er4Sc.

- E_form (eV per atom) = 0.03
- final energy (eV/f.u.) = -38.29

Cell lengths 12.124, 7.006, 12.120 Å; angles 125.33, 131.70, 89.97 degrees
Element x y z (fractional)
Nd (0.500, 0.500, 0.500)
Nd (0.000, 0.000, 0.000)
Dy (0.500, 0.000, 0.000)
Dy (0.500, 0.000, 0.500)
Dy (0.000, 0.000, 0.500)
Dy (0.500, 0.500, 0.000)
Er (0.247, 0.744, 0.995)
Er (0.753, 0.249, 0.501)
Er (0.247, 0.751, 0.499)
Er (0.753, 0.256, 0.005)
Er (0.753, 0.753, 0.005)
Er (0.753, 0.753, 0.501)
Er (0.247, 0.247, 0.499)
Er (0.247, 0.247, 0.995)
Sc (0.000, 0.500, 0.000)
Sc (0.000, 0.500, 0.500)



DFT (PBE-GGA) results for an optimized crystal structure of Nd2DyEr4Sc.

- E_form (eV per atom) = 0.04
- final energy (eV/f.u.) = -38.43

Cell lengths 4.999, 4.999, 11.108 Å; angles 63.26, 90.00, 90.00 degrees
Element x y z (fractional)
Nd (0.000, 0.000, 0.000)
Nd (0.500, 0.000, 0.500)
Dy (0.500, 0.500, 0.000)
Er (0.000, 0.756, 0.745)
Er (0.000, 0.244, 0.255)
Er (0.500, 0.745, 0.255)
Er (0.500, 0.255, 0.745)
Sc (0.000, 0.500, 0.500)



DFT (PBE-GGA) results for an optimized crystal structure of NdDyEr2Sc2.

- E_form (eV per atom) = 0.28
- final energy (eV/f.u.) = -29.48

Cell lengths 3.340, 6.269, 17.368 Å; angles 90.00, 90.00, 90.00 degrees
Element x y z (fractional)
Nd (0.000, 0.000, 0.000)
Nd (0.500, 0.500, 0.500)
Dy (0.500, 0.500, 0.000)
Dy (0.000, 0.000, 0.500)
Er (0.500, 0.280, 0.308)
Er (0.000, 0.780, 0.192)
Er (0.500, 0.720, 0.692)
Er (0.000, 0.220, 0.808)
Sc (0.500, 0.783, 0.354)
Sc (0.500, 0.217, 0.646)
Sc (0.000, 0.717, 0.854)
Sc (0.000, 0.283, 0.146)



DFT (PBE-GGA) results for an optimized crystal structure of Nd2Dy2ErSc2.

- E_form (eV per atom) = 0.14
- final energy (eV/f.u.) = -34.99

Cell lengths 3.412, 11.768, 14.479 Å; angles 156.58, 90.00, 98.33 degrees
Element x y z (fractional)
Nd (0.607, 0.214, 0.865)
Nd (0.393, 0.786, 0.135)
Dy (0.919, 0.838, 0.772)
Dy (0.081, 0.162, 0.228)
Er (0.000, 0.000, 0.500)
Sc (0.757, 0.514, 0.317)
Sc (0.243, 0.486, 0.683)



DFT (PBE-GGA) results for an optimized crystal structure of NdDy3ErSc.

- E_form (eV per atom) = 0.09
- final energy (eV/f.u.) = -28.90

Cell lengths 5.550, 6.567, 11.209 Å; angles 90.00, 90.00, 115.00 degrees
Element x y z (fractional)
Nd (0.473, 0.946, 0.750)
Nd (0.527, 0.054, 0.250)
Dy (0.677, 0.354, 0.531)
Dy (0.323, 0.646, 0.469)
Dy (0.323, 0.646, 0.031)
Dy (0.677, 0.354, 0.969)
Dy (0.177, 0.354, 0.750)
Dy (0.823, 0.646, 0.250)
Er (0.000, 0.000, 0.500)
Er (0.000, 0.000, 0.000)
Sc (0.855, 0.709, 0.750)
Sc (0.145, 0.291, 0.250)